Record 1
Entry from Alexandria: crystalline KNpPb2O8 at its relaxed geometry (GGA-PBE).

Summary:
The calculation puts the formation energy from raw total energies at -1.504 eV/atom. Its total energy is -79.17 eV/f.u.

a b c (Å): 5.337 6.854 5.353
angles (deg): 90.00 91.45 90.00
Space group P2/m (No. 10)
Asymmetric unit:
K  0.000  0.000  0.000
Np  0.000  0.500  0.000
Pb  0.500  0.249  0.500
O  0.186  0.307  0.184
O  0.311  0.500  0.687
O  0.320  0.000  0.672

---

Record 2
Entry from Alexandria: crystalline KInGe at its relaxed geometry (GGA-PBE).

Summary:
For the density of states at the Fermi level, the calculation gives 0.4 states/eV/f.u. As for the energy of formation from the pure elements: -0.41 eV per formula unit. Its total energy is -8.86 eV/f.u.

a b c (Å): 4.5966 4.5966 5.5513
angles (deg): 90.00 90.00 120.00
Space group P3m1 (No. 156)
Asymmetric unit:
K  0.0000  0.0000  0.0000
In  0.6667  0.3333  0.4949
Ge  0.3333  0.6667  0.5119

---

Record 3
Entry from Alexandria: crystalline GaAs2OF at its relaxed geometry (GGA-PBE).

Summary:
For the density of states at the Fermi level, the calculation gives 3.7 states/eV/f.u. The calculation puts the formation energy from raw total energies at 0.036 eV/atom. Its total energy is -18.97 eV/f.u.

a b c (Å): 5.064 5.064 3.579
angles (deg): 90.00 90.00 90.00
Space group P4/mmm (No. 123)
Asymmetric unit:
Ga  0.000  0.000  0.000
As  0.000  0.500  0.000
O  0.000  0.000  0.500
F  0.500  0.500  0.500

---

Record 4
Entry from Alexandria: crystalline K2LiH2Se2O6 at its relaxed geometry (GGA-PBE).

Summary:
Its relative energy among the computed polymorphs is 0.0000 eV per atom. Its total energy is -63.48 eV/f.u.

a b c (Å): 5.733 6.494 7.300
angles (deg): 67.42 67.61 83.70
Space group P1 (No. 1)
Asymmetric unit:
K  0.000  0.000  0.000
K  0.417  0.373  0.088
Li  0.767  0.455  0.305
H  0.025  0.502  0.931
H  0.530  0.892  0.033
Se  0.213  0.659  0.455
Se  0.609  0.961  0.664
O  0.025  0.598  0.348
O  0.369  0.771  0.771
O  0.513  0.699  0.259
O  0.518  0.202  0.516
O  0.555  0.036  0.903
O  0.921  0.381  0.057

---

Record 5
Entry from Alexandria: crystalline Ti2CoH at its relaxed geometry (GGA-PBE).

Summary:
For the density of states at the Fermi level, the calculation gives 0.3 states/eV/f.u. Its total energy is -26.12 eV/f.u.

a b c (Å): 5.758 5.758 5.758
angles (deg): 90.00 90.00 90.00
Space group Fm-3m (No. 225)
Asymmetric unit:
Ti  0.250  0.250  0.250
Co  0.000  0.000  0.000
H  0.000  0.000  0.500

---

Record 6
Entry from Alexandria: crystalline LiCaCeS3 at its relaxed geometry (GGA-PBE).

Summary:
For the density of states at the Fermi level, the calculation gives 6.5 states/eV/f.u. The calculation puts the formation energy from raw total energies at -1.794 eV/atom. Its total energy is -33.00 eV/f.u.

a b c (Å): 8.315 3.975 8.479
angles (deg): 90.00 99.73 90.00
Space group P2_1/m (No. 11)
Asymmetric unit:
Li  0.084  0.250  0.081
Ca  0.171  0.250  0.717
Ce  0.339  0.750  0.321
S  0.105  0.250  0.364
S  0.205  0.750  0.994
S  0.415  0.750  0.662

---

Record 7
Entry from Alexandria: crystalline Rb2ThUSe6 at its relaxed geometry (GGA-PBE).

Summary:
For the density of states at the Fermi level, the calculation gives 2.6 states/eV/f.u. The calculation puts the formation energy from raw total energies at -1.309 eV/atom. Its total energy is -54.64 eV/f.u.

a b c (Å): 7.869 11.127 7.867
angles (deg): 90.00 90.00 90.00
Space group Pmmn (No. 59, origin choice 2)
Asymmetric unit:
Rb  0.250  0.000  0.250
Th  0.250  0.250  0.750
U  0.250  0.750  0.750
Se  0.008  0.750  0.508
Se  0.008  0.750  0.992
Se  0.250  0.508  0.750

---

Record 8
Entry from Alexandria: crystalline VGaRh2 at its relaxed geometry (GGA-PBE).

Summary:
For the density of states at the Fermi level, the calculation gives 5.6 states/eV/f.u. As for the energy of formation from the pure elements: -1.80 eV per formula unit. Its total energy is -28.65 eV/f.u.

a b c (Å): 4.295 4.295 3.049
angles (deg): 90.00 90.00 90.00
Space group P4/mmm (No. 123)
Asymmetric unit:
V  0.000  0.000  0.000
Ga  0.500  0.500  0.000
Rh  0.000  0.500  0.500

---

Question: What is the formula in the seventh record?
Answer: Rb2ThUSe6